(1)
NdSm2CuS5 (PBE, optimized geometry); formation energy (no corrections) = -15.31 eV per formula unit; total magnetization = 0.00 Bohr magnetons per cell; DOS at the Fermi energy = 0.153 states/eV per cell
1.0
-0.869 -3.507 -1.488
8.800 -0.776 1.819
-2.507 -3.831 10.497
Cu S Sm Nd
2 10 4 2
Cartesian
6.230 -3.963 5.703
-1.825 -5.707 9.389
0.652 -4.389 4.833
4.594 -2.943 4.254
0.567 -0.449 0.726
0.385 -5.850 8.435
6.376 -5.500 9.239
3.206 -4.124 7.849
5.807 -6.212 6.121
2.531 -3.510 1.665
-1.094 -2.831 2.182
6.012 -1.830 0.801
5.782 -4.476 2.041
1.129 -1.765 3.501
-0.026 -3.129 7.392
3.992 -6.810 8.590
3.255 -1.030 0.525
3.373 -5.245 5.262

---

(2)
Nd2SmCuS5 (PBE, optimized geometry); formation energy (no corrections) = -15.55 eV per formula unit; total magnetization = 0.00 Bohr magnetons per cell; DOS at the Fermi energy = 0.077 states/eV per cell
1.0
3.940 0.000 0.000
-1.970 8.584 0.000
0.000 0.000 11.662
S Nd Sm Cu
10 4 2 2
Cartesian
0.000 4.992 7.925
0.000 8.557 9.073
0.000 5.471 4.024
1.970 3.113 9.855
1.970 7.876 6.510
1.970 2.431 5.857
0.000 0.708 0.679
1.970 0.027 3.242
1.970 3.592 2.094
0.000 6.153 0.025
0.000 2.041 3.637
1.970 6.543 9.468
1.970 6.746 2.160
0.000 1.838 7.991
0.000 3.343 0.120
1.970 5.241 5.951
1.970 0.981 11.121
0.000 7.603 5.290

---

(3)
Nd3CuSnS7 (PBE, optimized geometry); formation energy (no corrections) = -17.33 eV per formula unit; total magnetization = 0.00 Bohr magnetons per cell; DOS at the Fermi energy = 0.000 states/eV per cell
1.0
10.099 0.000 0.000
-5.050 8.746 0.000
0.000 0.000 6.250
S Nd Cu Sn
14 6 2 2
Cartesian
8.277 1.315 4.418
3.053 3.771 0.065
-1.739 4.530 3.190
0.228 2.236 1.293
6.789 4.216 0.065
0.000 5.831 5.971
-3.227 7.431 1.293
1.996 4.975 3.190
5.307 0.759 0.065
5.050 2.915 2.846
2.050 0.921 4.418
2.999 7.825 1.293
-0.257 7.987 3.190
4.822 6.510 4.418
2.152 7.497 4.797
4.683 5.612 1.672
0.367 3.134 4.797
-2.519 6.861 4.797
7.569 1.885 1.672
2.898 1.249 1.672
0.000 0.000 1.149
0.000 0.000 4.274
0.000 5.831 2.113
5.050 2.915 5.238

---

(4)
SrNdCu2S4 (PBE, optimized geometry); formation energy (no corrections) = -9.27 eV per formula unit; total magnetization = 0.00 Bohr magnetons per cell; DOS at the Fermi energy = 0.962 states/eV per cell
1.0
-1.673 -1.166 -6.340
-3.035 -4.973 -1.782
-5.536 1.179 -2.253
S Cu Nd Sr
4 2 1 1
Cartesian
-7.844 -1.768 -6.461
-5.623 -4.420 -2.837
-3.291 -3.813 -7.286
-3.731 0.080 -4.165
-2.561 -1.240 -2.594
-7.683 -3.720 -7.781
-3.035 -4.973 -1.782
-5.122 -2.480 -5.187

---

(5)
SrNdCuS3 (PBE, optimized geometry); formation energy (no corrections) = -9.99 eV per formula unit; total magnetization = 0.00 Bohr magnetons per cell
1.0
-3.827 0.012 -1.209
2.491 -6.657 -7.950
-2.479 -10.177 7.744
S Cu Nd Sr
12 4 4 4
Cartesian
0.453 -6.669 -4.832
-4.269 -10.153 3.417
-2.150 -3.633 -3.224
-3.045 -1.547 -0.370
-1.665 -13.188 1.809
-1.637 -9.970 -4.909
-2.442 -7.514 -2.337
-1.373 -9.308 0.923
-2.178 -6.851 3.494
-1.175 -4.911 0.339
-0.770 -15.274 -1.045
-2.641 -11.910 -1.753
-0.962 -13.016 -0.416
-2.080 -9.165 3.162
-2.853 -3.806 -0.999
-1.735 -7.656 -4.577
-4.639 -7.583 4.615
0.824 -9.239 -6.030
-0.338 -5.568 -2.316
-3.477 -11.254 0.901
-2.906 -11.549 5.750
-0.910 -5.273 -7.164
-0.433 -9.840 -2.058
-3.382 -6.981 0.643

---

(6)
Sr2NdCu2S4 (PBE, optimized geometry); formation energy (no corrections) = -12.12 eV per formula unit; total magnetization = 0.00 Bohr magnetons per cell; DOS at the Fermi energy = 3.217 states/eV per cell
1.0
3.906 0.000 0.000
0.000 7.248 0.152
-1.953 -2.722 6.832
Cu S Sr Nd
2 4 2 1
Cartesian
1.953 -0.996 2.523
0.000 5.523 4.461
0.000 0.390 2.866
1.953 4.137 4.118
1.953 5.212 0.555
0.000 -0.685 6.429
1.953 1.109 5.073
0.000 3.418 1.911
0.000 0.000 0.000

---

(7)
TbNdCu2S4 (PBE, optimized geometry); formation energy (no corrections) = -9.68 eV per formula unit; total magnetization = 0.00 Bohr magnetons per cell; DOS at the Fermi energy = 0.801 states/eV per cell
1.0
6.536 0.000 0.000
3.268 5.059 0.123
3.268 0.537 5.032
Cu S Nd Tb
2 4 1 1
Cartesian
9.804 3.751 3.455
3.268 1.845 1.700
8.174 2.704 0.445
8.174 2.893 4.710
4.898 0.665 2.658
4.898 4.931 2.497
0.000 0.000 0.000
6.536 2.798 2.578

---

(8)
Nd2ThCuS5 (PBE, optimized geometry); formation energy (no corrections) = -15.40 eV per formula unit; total magnetization = 0.00 Bohr magnetons per cell; DOS at the Fermi energy = 2.494 states/eV per cell
1.0
3.889 0.000 0.000
-1.944 8.373 0.000
0.000 0.000 12.176
S Nd Th Cu
10 4 2 2
Cartesian
1.944 3.038 10.456
1.944 2.623 6.344
1.944 8.149 6.219
0.000 5.334 4.368
1.944 3.348 2.383
0.000 0.224 0.132
0.000 5.025 8.471
0.000 8.224 9.117
0.000 5.749 0.257
1.944 0.149 3.029
1.944 6.468 2.355
0.000 1.905 8.443
0.000 1.963 4.237
1.944 6.410 10.325
0.000 2.960 0.349
1.944 5.413 6.437
1.944 0.793 11.186
0.000 7.580 5.098

---

(9)
NdTlCuS2 (PBE, optimized geometry); formation energy (no corrections) = -4.04 eV per formula unit; total magnetization = 0.00 Bohr magnetons per cell; DOS at the Fermi energy = 3.991 states/eV per cell
1.0
-4.041 1.621 3.706
-1.812 -5.793 0.559
5.607 1.071 5.645
Nd Tl S Cu
2 2 4 2
Cartesian
-0.652 1.092 3.295
2.219 1.601 6.056
-2.822 -1.297 4.734
2.577 -1.803 5.176
-1.283 -0.934 1.493
1.038 -2.166 8.416
0.000 -3.410 3.975
-0.245 0.310 5.935
0.000 0.000 0.000
2.804 0.536 2.822

---

(10)
NdU3Cu4S12 (PBE, optimized geometry); formation energy (no corrections) = -17.60 eV per formula unit; total magnetization = 1.08 Bohr magnetons per cell; DOS at the Fermi energy = 8.870 states/eV per cell
1.0
8.316 -0.165 -0.230
-2.164 8.032 -0.230
-2.164 -2.767 7.543
S Cu U Nd
12 4 3 1
Cartesian
-0.939 -0.102 7.270
0.127 7.191 1.421
0.305 3.870 3.542
6.949 0.758 2.211
3.861 6.035 -0.186
1.994 0.809 4.795
-2.234 5.856 3.542
6.222 3.599 0.406
1.994 -1.807 6.678
3.683 2.969 2.289
4.927 -1.828 4.873
-2.961 3.243 5.663
1.994 7.131 0.244
6.441 -0.928 3.542
1.994 2.549 3.542
-2.453 1.446 6.840
3.697 3.447 -0.230
-2.164 3.272 3.196
2.455 -1.620 4.118
0.000 0.000 0.000

---

(11)
Nd2UCuS5 (PBE, optimized geometry); formation energy (no corrections) = -13.97 eV per formula unit; total magnetization = 4.99 Bohr magnetons per cell; DOS at the Fermi energy = 13.947 states/eV per cell
1.0
3.875 0.000 0.000
-1.938 8.254 0.000
0.000 0.000 12.076
Nd S U Cu
4 10 2 2
Cartesian
0.000 1.936 4.176
0.000 1.899 8.367
1.938 6.355 2.330
1.938 6.318 10.214
1.938 3.293 2.263
1.938 2.551 6.284
0.000 5.189 4.396
0.000 8.129 9.065
0.000 4.961 8.301
0.000 0.307 0.176
1.938 7.947 6.214
1.938 3.065 10.434
0.000 5.703 0.246
1.938 0.125 3.027
1.938 5.274 6.368
0.000 2.980 0.330
1.938 0.812 11.119
0.000 7.442 5.081

---

(12)
Nd3Cu3Sb4 (PBE, optimized geometry); formation energy (no corrections) = -7.72 eV per formula unit; total magnetization = 0.00 Bohr magnetons per cell; DOS at the Fermi energy = 1.695 states/eV per cell
1.0
8.470 0.000 0.000
-2.823 7.985 0.000
-2.823 -3.993 6.915
Cu Nd Sb
6 6 8
Cartesian
-0.706 1.996 5.187
2.117 4.492 2.593
-0.706 -2.495 6.051
6.352 1.497 0.864
-2.117 5.989 1.729
3.529 0.499 4.322
-3.529 2.495 6.051
4.941 -1.996 5.187
3.529 6.488 0.864
3.529 1.996 1.729
-0.706 3.494 2.593
0.706 -0.499 4.322
1.864 2.637 4.567
0.453 0.640 1.109
-2.370 0.716 3.458
1.864 -3.352 5.806
1.465 3.993 0.000
-3.782 4.708 3.458
3.276 -1.356 2.349
5.700 3.993 0.000

---

(13)
NdCu2Sb2 (PBE, optimized geometry); formation energy (no corrections) = -2.51 eV per formula unit; total magnetization = 0.00 Bohr magnetons per cell; DOS at the Fermi energy = 3.018 states/eV per cell
1.0
4.300 0.000 -0.764
0.000 4.354 0.000
-0.143 0.000 11.675
Sb Cu Nd
4 4 2
Cartesian
3.772 3.265 8.744
0.385 1.088 2.167
1.004 3.265 5.648
3.153 1.088 5.263
2.261 1.088 0.243
4.042 1.088 10.265
0.115 3.265 0.646
1.896 3.265 10.668
1.450 1.088 8.156
2.708 3.265 2.755

---

(14)
Nd4CuSb (PBE, optimized geometry); formation energy (no corrections) = -1.78 eV per formula unit; total magnetization = 0.00 Bohr magnetons per cell; DOS at the Fermi energy = 14.540 states/eV per cell
1.0
5.572 0.000 0.000
0.000 6.471 0.000
-2.786 0.000 10.295
Nd Sb Cu
8 2 2
Cartesian
0.000 3.716 6.081
0.000 0.453 6.085
2.786 2.082 1.061
0.000 5.318 9.234
2.786 3.689 4.210
2.786 0.481 4.213
0.000 5.319 2.171
2.786 2.083 8.123
0.000 2.083 3.049
2.786 5.319 7.245
0.000 2.092 8.567
2.786 5.328 1.728

---

(15)
NdCu2Sb2 (PBE, optimized geometry); formation energy (no corrections) = -1.69 eV per formula unit; total magnetization = 0.00 Bohr magnetons per cell; DOS at the Fermi energy = 3.754 states/eV per cell
1.0
7.162 0.314 -0.204
-1.181 7.071 -0.204
-2.817 -3.478 4.857
Sb Cu Nd
4 4 2
Cartesian
1.645 3.342 1.010
-1.900 3.334 3.439
1.519 0.564 3.439
5.064 0.573 1.010
-0.245 1.888 2.044
3.409 2.018 2.405
0.489 -1.587 4.472
2.675 5.493 -0.024
3.989 -1.436 3.439
-0.825 5.343 1.010

---

(16)
Nd3CuSb (PBE, optimized geometry); formation energy (no corrections) = -2.46 eV per formula unit; total magnetization = 0.00 Bohr magnetons per cell; DOS at the Fermi energy = 12.007 states/eV per cell
1.0
4.187 0.000 0.000
-2.094 8.031 0.151
-0.001 -0.166 8.674
Nd Sb Cu
6 2 2
Cartesian
2.022 2.154 6.566
2.024 4.556 3.637
-0.069 1.182 3.538
-0.070 4.645 0.193
-0.068 6.877 5.942
2.023 8.018 0.296
2.023 2.387 1.249
-0.070 6.814 2.584
2.023 5.091 6.790
-0.068 3.936 5.707

---

(17)
Nd2CuSb4 (PBE, optimized geometry); formation energy (no corrections) = -5.14 eV per formula unit; total magnetization = 0.00 Bohr magnetons per cell; DOS at the Fermi energy = 2.934 states/eV per cell
1.0
4.417 0.000 0.000
0.000 4.417 0.000
0.000 0.000 9.674
Sb Nd Cu
4 2 1
Cartesian
2.209 0.000 1.334
0.000 0.000 4.837
0.000 2.209 8.340
2.209 2.209 4.837
2.209 0.000 7.376
0.000 2.209 2.298
2.209 2.209 0.000

---

(18)
Nd2CuSbSe5 (PBE, optimized geometry); formation energy (no corrections) = -10.05 eV per formula unit; total magnetization = 0.00 Bohr magnetons per cell; DOS at the Fermi energy = 0.140 states/eV per cell
1.0
-2.950 1.795 -2.190
-2.156 -8.772 -0.469
-6.838 1.138 10.146
Se Nd Sb Cu
10 4 2 2
Cartesian
-4.410 -4.305 2.412
-9.403 -4.472 9.003
-8.702 -5.678 3.251
-6.935 1.684 6.906
-6.631 -3.820 5.802
-8.619 -1.354 6.685
-5.567 -7.431 1.409
-4.101 -2.221 -0.114
-0.777 -0.571 0.578
-5.920 -0.805 3.498
-2.925 -1.492 2.719
-5.536 -4.969 -0.434
-9.756 -4.225 5.863
-5.507 -1.020 6.584
-1.375 -2.968 -0.581
-7.162 -3.438 3.012
-10.375 -6.744 8.449
-4.807 1.444 3.842

---

(19)
SrNdCu2Sb2 (PBE, optimized geometry); formation energy (no corrections) = -4.35 eV per formula unit; total magnetization = 0.00 Bohr magnetons per cell; DOS at the Fermi energy = 2.909 states/eV per cell
1.0
4.466 0.000 0.000
-2.233 3.868 0.000
0.000 0.000 8.740
Cu Sr Sb Nd
2 1 2 1
Cartesian
0.000 2.579 6.231
2.233 1.289 2.509
0.000 0.000 0.000
0.000 2.579 2.247
2.233 1.289 6.493
0.000 0.000 4.370

---

no.,DFT total energy (eV/atom),volume (Å³ per atom)
1,-6.028,21.9
2,-6.060,21.9
3,-5.719,23.0
4,-5.053,21.4
5,-5.486,23.2
6,-4.995,21.7
7,-5.472,20.7
8,-6.343,22.0
9,-4.705,26.9
10,-6.107,24.5
11,-6.614,21.5
12,-5.080,23.4
13,-4.742,21.8
14,-4.844,30.9
15,-4.578,23.8
16,-4.997,29.2
17,-5.037,27.0
18,-5.026,24.6
19,-4.540,25.2